First-principles (PBE with a Hubbard U) data for an optimized crystal structure of Ca2VSbO6, as listed in Alexandria via LeMat-Bulk.

Geometry as CIF:
```
data_Ca2VSbO6
_space_group_name_H-M_alt 'F m -3 m'
_space_group_IT_number 225
_space_group_name_Hall '-F 4 2 3'
_cell_length_a 7.9331
_cell_length_b 7.9331
_cell_length_c 7.9331
_cell_angle_alpha 90.00
_cell_angle_beta 90.00
_cell_angle_gamma 90.00
loop_
_atom_site_label
_atom_site_type_symbol
_atom_site_fract_x
_atom_site_fract_y
_atom_site_fract_z
_atom_site_occupancy
Ca1 Ca 0.2500 0.2500 0.2500 1
V1 V 0.0000 0.0000 0.0000 1
Sb1 Sb 0.0000 0.0000 0.5000 1
O1 O 0.0000 0.0000 0.2522 1
```

Calculated values
Crystal system = cubic
Calculated total energy = -6.686 eV/atom